# CsSn2IrI

An optimized crystal structure of CsSn2IrI (PBE-GGA, Alexandria via LeMat-Bulk). Values from VASP.

Structure (Quantum ESPRESSO input):
```
&SYSTEM
  ibrav = 0, nat = 5, ntyp = 4
/
ATOMIC_SPECIES
Sn 118.71 Sn.upf
I 126.90 I.upf
Ir 192.22 Ir.upf
Cs 132.91 Cs.upf
CELL_PARAMETERS angstrom
-4.908 4.113 -0.185
-3.232 -3.823 0.738
0.460 0.834 6.335
ATOMIC_POSITIONS crystal
Sn 0.000 0.000 0.500
Sn 0.500 0.000 0.000
I 0.500 0.500 0.500
Ir 0.000 0.500 0.000
Cs 0.000 0.000 0.000
```

## Properties
Magnetization (μB per formula unit): 0.002
Space-group type: P4/mmm
Calculated volume (Å³/cell): 208
VASP energy (eV per cell): -10.82
Formation energy without anion corrections (eV/atom): 1.6903